BaCdGeS4 | meta-GGA SCAN | single point on PBEsol structure

Cell and atoms, written as POSCAR:
```
BaCdGeS4
1.0
12.3220 -0.0027 0.0053
-3.2513 12.1770 0.0094
3.2512 7.3204 9.7309
Ba Cd Ge S
8 8 8 32
Direct
0.4932 0.2425 0.7605 Ba
0.5068 0.7463 0.2507 Ba
0.0068 0.9993 0.5037 Ba
0.9932 0.4895 0.0075 Ba
0.0000 0.7394 0.2606 Ba
0.5000 0.9894 0.5105 Ba
0.0000 0.2500 0.7500 Ba
0.5000 0.5000 0.0000 Ba
0.2254 0.7357 0.5121 Cd
0.7746 0.2625 0.4897 Cd
0.2746 0.7603 0.9875 Cd
0.7254 0.7379 0.5143 Cd
0.1492 0.2313 0.0193 Cd
0.8508 0.8315 0.9179 Cd
0.3508 0.3321 0.4185 Cd
0.6492 0.2307 0.0187 Cd
0.8673 0.5153 0.7354 Ge
0.1327 0.3973 0.3519 Ge
0.6328 0.8981 0.8527 Ge
0.3672 0.5145 0.7347 Ge
0.2226 0.9856 0.7643 Ge
0.7774 0.0130 0.2371 Ge
0.2774 0.0129 0.2369 Ge
0.7226 0.4857 0.2645 Ge
0.2638 0.3185 0.7685 S
0.7362 0.9677 0.9453 S
0.2362 0.3047 0.2823 S
0.7638 0.4815 0.9315 S
0.2293 0.8011 0.7852 S
0.7707 0.9854 0.4282 S
0.2707 0.8218 0.2646 S
0.7293 0.4648 0.4489 S
0.0966 0.0152 0.2343 S
0.9034 0.6691 0.0814 S
0.4034 0.1686 0.5809 S
0.5966 0.0157 0.2348 S
0.5520 0.5206 0.7290 S
0.4480 0.7190 0.0314 S
0.9480 0.2186 0.5310 S
0.0520 0.5210 0.7294 S
0.9189 0.7114 0.5419 S
0.0811 0.5391 0.2075 S
0.5811 0.0425 0.7109 S
0.4189 0.7081 0.5386 S
0.4286 0.2098 0.0429 S
0.5714 0.5285 0.2189 S
0.0714 0.0311 0.7215 S
0.9286 0.2071 0.0402 S
0.7700 0.8204 0.2682 S
0.2300 0.9618 0.9496 S
0.7300 0.3005 0.2882 S
0.2700 0.9818 0.4296 S
0.2642 0.4840 0.9291 S
0.7358 0.8067 0.7802 S
0.2358 0.4698 0.4433 S
0.7642 0.3209 0.7660 S
```

Values from the calculation:
* formation energy without anion corrections: -1161 meV/atom